Record 1
# Be2SbPb, optimized geometry, DFT PBE
data_Be2SbPb
_chemical_formula_sum 'Be2 Sb1 Pb1'
_symmetry_space_group_name_H-M 'P 1'
_symmetry_Int_Tables_number 1
_cell_length_a 6.626
_cell_length_b 6.626
_cell_length_c 6.626
_cell_angle_alpha 147.10
_cell_angle_beta 147.70
_cell_angle_gamma 46.78
loop_
_symmetry_equiv_pos_as_xyz
'x,y,z'
loop_
_atom_site_label
_atom_site_type_symbol
_atom_site_fract_x
_atom_site_fract_y
_atom_site_fract_z
Be1 Be 0.820 0.320 0.500
Be2 Be 0.903 0.903 0.000
Sb1 Sb 0.262 0.762 0.500
Pb1 Pb 0.514 0.514 0.000
# Mass density in g/cm3: 6.85
# Formation energy (no corrections) in meV/atom: 427
# Polymorph energy (0 for the lowest one) in eV per atom: 0.128

---

Record 2
# Pr3CuO5, optimized geometry, DFT PBE
data_Pr3CuO5
_chemical_formula_sum 'Pr6 Cu2 O10'
_symmetry_space_group_name_H-M 'P 1'
_symmetry_Int_Tables_number 1
_cell_length_a 6.677
_cell_length_b 6.677
_cell_length_c 7.385
_cell_angle_alpha 116.88
_cell_angle_beta 116.88
_cell_angle_gamma 90.00
loop_
_symmetry_equiv_pos_as_xyz
'x,y,z'
loop_
_atom_site_label
_atom_site_type_symbol
_atom_site_fract_x
_atom_site_fract_y
_atom_site_fract_z
Pr1 Pr 0.250 0.250 0.500
Pr2 Pr 0.836 0.664 0.000
Pr3 Pr 0.336 0.836 0.000
Pr4 Pr 0.164 0.336 0.000
Pr5 Pr 0.664 0.164 0.000
Pr6 Pr 0.750 0.750 0.500
O1 O 0.525 0.699 0.724
O2 O 0.801 0.975 0.276
O3 O 0.025 0.525 0.724
O4 O 0.475 0.301 0.276
O5 O 0.301 0.801 0.276
O6 O 0.975 0.475 0.276
O7 O 0.500 0.500 0.000
O8 O 0.699 0.199 0.724
O9 O 0.000 0.000 0.000
O10 O 0.199 0.025 0.724
Cu1 Cu 0.750 0.250 0.500
Cu2 Cu 0.250 0.750 0.500
# Mass density in g/cm3: 7.43
# Formation energy (no corrections) in meV/atom: -2589

---

Record 3
# Ca4SbP, optimized geometry, DFT PBE
data_Ca4SbP
_chemical_formula_sum 'Ca4 Sb1 P1'
_symmetry_space_group_name_H-M 'P 1'
_symmetry_Int_Tables_number 1
_cell_length_a 6.272
_cell_length_b 6.272
_cell_length_c 6.272
_cell_angle_alpha 60.00
_cell_angle_beta 60.00
_cell_angle_gamma 60.00
loop_
_symmetry_equiv_pos_as_xyz
'x,y,z'
loop_
_atom_site_label
_atom_site_type_symbol
_atom_site_fract_x
_atom_site_fract_y
_atom_site_fract_z
P1 P 0.750 0.750 0.750
Ca1 Ca 0.375 0.375 0.375
Ca2 Ca 0.375 0.875 0.375
Ca3 Ca 0.875 0.375 0.375
Ca4 Ca 0.375 0.375 0.875
Sb1 Sb 0.000 0.000 0.000
# Mass density in g/cm3: 2.98
# Formation energy (no corrections) in meV/atom: 122
# Polymorph energy (0 for the lowest one) in eV per atom: 0.952

---

Calculated spin magnetization in order - 0.0, 0.0, 0.0 Bohr magnetons per cell